[1]
# LiSn2P5O16

LiSn2P5O16 after structural relaxation (PBE-GGA, the Alexandria database).

Unit cell a=7.0539 b=5.2258 c=20.0760 alpha=87.91 beta=90.00 gamma=90.00
Atoms (fractional coordinates):
Li 0.5410 0.7172 0.0463
Li 0.4590 0.7172 0.5463
Sn 0.8989 0.6899 0.6023
Sn 0.7660 0.2959 0.9078
Sn 0.1011 0.6899 0.1023
Sn 0.2340 0.2959 0.4078
P 0.4511 0.2152 0.1278
P 0.1903 0.1716 0.5642
P 0.5489 0.2152 0.6278
P 0.2991 0.0315 0.2595
P 0.9202 0.7969 0.4253
P 0.0798 0.7969 0.9253
P 0.5258 0.8039 0.3708
P 0.4742 0.8039 0.8708
P 0.7009 0.0315 0.7595
P 0.8097 0.1716 0.0642
O 0.4104 0.2149 0.2069
O 0.2781 0.3525 0.5069
O 0.7219 0.3525 0.0069
O 0.5896 0.2149 0.7069
O 0.1712 0.8462 0.2291
O 0.4799 0.8858 0.2955
O 0.7489 0.8217 0.3691
O 0.6780 0.2382 0.1286
O 0.7833 0.2186 0.8088
O 0.7826 0.8916 0.0499
O 0.1731 0.7068 0.9895
O 0.3902 0.9722 0.0970
O 0.3810 0.4672 0.0983
O 0.0013 0.0716 0.9257
O 0.0067 0.2514 0.0838
O 0.6098 0.9722 0.5970
O 0.4362 0.9915 0.4179
O 0.2511 0.8217 0.8691
O 0.6190 0.4672 0.5983
O 0.2174 0.8916 0.5499
O 0.4715 0.5262 0.3859
O 0.0641 0.6158 0.3938
O 0.3220 0.2382 0.6286
O 0.9987 0.0716 0.4257
O 0.8269 0.7068 0.4895
O 0.5638 0.9915 0.9179
O 0.9359 0.6158 0.8938
O 0.5285 0.5262 0.8859
O 0.2167 0.2186 0.3088
O 0.9933 0.2514 0.5838
O 0.5201 0.8858 0.7955
O 0.8288 0.8462 0.7291

Properties
The calculation puts the uncorrected formation energy at -2038.3 meV per atom. As for the space group: No. 7. The value obtained for the magnetic moment is 0.00 μB per formula unit. As for the electronic total energy: -165.2 eV/f.u. The value obtained for the calculated density is 2.94 g/cm3.

***

[2]
# La2CePu3P6

La2CePu3P6 after structural relaxation (PBE-GGA, the Alexandria database).

Unit cell a=4.1047 b=8.1970 c=9.1687 alpha=102.71 beta=102.93 gamma=90.00
Each line ends with the local moment (μB).
Atoms (fractional coordinates):
La 0.8341 0.6680 0.6681  0.00
La 0.1659 0.3320 0.3319  0.00
Ce 0.5000 0.0000 0.0000  0.18
Pu 0.5000 0.5000 0.0000  -4.99
Pu 0.8323 0.1656 0.6646  4.91
Pu 0.1677 0.8344 0.3354  4.91
P 0.3321 0.9311 0.6642  -0.09
P 0.6627 0.5956 0.3253  -0.04
P 0.6679 0.0689 0.3358  -0.09
P 0.9956 0.2499 0.9912  0.02
P 0.0044 0.7501 0.0088  0.02
P 0.3373 0.4044 0.6746  -0.04

Properties
As for the space group: No. 12. The value obtained for the magnetic moment is 4.94 μB per formula unit. The formation energy comes out at -15.734 eV per formula unit. As for the electronic total energy: -107.0 eV/f.u. The value obtained for the calculated density is 7.57 g/cm3.

***

[3]
# PaNi11

PaNi11 after structural relaxation (PBE-GGA, the Alexandria database).

Unit cell a=6.2205 b=7.5484 c=7.5484 alpha=80.23 beta=65.67 gamma=65.67
Each line ends with the local moment (μB).
Atoms (fractional coordinates):
Pa 0.5000 0.0000 0.0000  -0.34
Pa 0.2500 0.5000 0.5000  -0.34
Ni 0.4313 0.8245 0.4194  0.33
Ni 0.6752 0.1755 0.5806  0.33
Ni 0.0000 0.0000 0.0000  0.26
Ni 0.7500 0.5000 0.5000  0.26
Ni 0.3750 0.7500 0.7500  0.39
Ni 0.8750 0.7500 0.2500  0.39
Ni 0.8750 0.2500 0.7500  0.39
Ni 0.8750 0.2500 0.2500  0.39
Ni 0.4313 0.4194 0.8245  0.33
Ni 0.0058 0.6755 0.9194  0.33
Ni 0.6007 0.3245 0.0806  0.33
Ni 0.6752 0.5806 0.1755  0.33
Ni 0.7442 0.5806 0.8245  0.33
Ni 0.1493 0.4194 0.1755  0.33
Ni 0.0748 0.3245 0.9194  0.33
Ni 0.3187 0.6755 0.0806  0.33
Ni 0.3187 0.0806 0.6755  0.33
Ni 0.7442 0.8245 0.5806  0.33
Ni 0.1493 0.1755 0.4194  0.33
Ni 0.0748 0.9194 0.3245  0.33
Ni 0.0058 0.9194 0.6755  0.33
Ni 0.6007 0.0806 0.3245  0.33

Properties
As for the space group: No. 141. The value obtained for the magnetic moment is 3.05 μB per formula unit. The formation energy comes out at -1.584 eV per formula unit. As for the electronic total energy: -74.7 eV/f.u. The value obtained for the calculated density is 9.89 g/cm3.

***

[4]
# Dy2GaSi4Pt3

Dy2GaSi4Pt3 after structural relaxation (PBE-GGA, the Alexandria database).

Unit cell a=4.1073 b=4.1073 c=10.3417 alpha=90.00 beta=90.00 gamma=90.00
Atoms (fractional coordinates):
Dy 0.5000 0.0000 0.2503
Dy 0.0000 0.5000 0.7497
Ga 0.5000 0.5000 0.5000
Si 0.5000 0.5000 0.0000
Si 0.0000 0.0000 0.0000
Si 0.5000 0.0000 0.6434
Si 0.0000 0.5000 0.3566
Pt 0.0000 0.0000 0.5000
Pt 0.5000 0.0000 0.8730
Pt 0.0000 0.5000 0.1270

Properties
The calculation puts the uncorrected formation energy at -955.8 meV per atom. As for the space group: No. 115. The value obtained for the magnetic moment is 0.00 μB per formula unit. As for the electronic total energy: -61.6 eV/f.u. The value obtained for the calculated density is 10.40 g/cm3.

***

[5]
# ScTc2P

ScTc2P after structural relaxation (PBE-GGA, the Alexandria database).

Unit cell a=4.3863 b=3.0772 c=4.6882 alpha=88.28 beta=90.00 gamma=90.00
Atoms (fractional coordinates):
Sc 0.5000 0.0000 0.5000
Tc 0.0000 0.3523 0.7511
Tc 0.0000 0.6477 0.2489
P 0.5000 0.5000 0.0000

Properties
As for the space group: No. 10. The value obtained for the magnetic moment is 0.00 μB per formula unit. The formation energy comes out at -0.807 eV per formula unit. As for the electronic total energy: -33.3 eV/f.u. The value obtained for the calculated density is 7.14 g/cm3.

***

[6]
# K2TaRe

K2TaRe after structural relaxation (PBE-GGA, the Alexandria database).

Unit cell a=3.8703 b=3.8703 c=6.1728 alpha=90.00 beta=90.00 gamma=90.00
Atoms (fractional coordinates):
K 0.0000 0.0000 0.0000
K 0.5000 0.5000 0.0000
Re 0.5000 0.0000 0.5000
Ta 0.0000 0.5000 0.5000

Properties
As for the polymorph energy (0 for the lowest one): 2.786 eV/f.u. As for the space group: No. 123. The value obtained for the magnetic moment is 0.08 μB per formula unit. The formation energy comes out at 5.635 eV per formula unit. As for the electronic total energy: -20.9 eV/f.u. The value obtained for the calculated density is 8.00 g/cm3.

***

[7]
# Tm2PuScS4

Tm2PuScS4 after structural relaxation (PBE-GGA, the Alexandria database).

Unit cell a=3.8256 b=6.6509 c=6.6463 alpha=109.18 beta=90.00 gamma=90.00
Each line ends with the local moment (μB).
Atoms (fractional coordinates):
Tm 0.5000 0.0000 0.5000  -0.01
Tm 0.0000 0.5000 0.5000  0.08
Pu 0.5000 0.5000 0.0000  5.31
Sc 0.0000 0.0000 0.0000  0.07
S 0.5000 0.2411 0.2469  -0.01
S 0.5000 0.7589 0.7531  -0.01
S 0.0000 0.2414 0.7474  -0.04
S 0.0000 0.7586 0.2526  -0.04

Properties
The calculation puts the uncorrected formation energy at -1886.6 meV per atom. As for the space group: No. 10. The value obtained for the magnetic moment is 5.81 μB per formula unit. As for the electronic total energy: -61.2 eV/f.u. The value obtained for the calculated density is 7.85 g/cm3.

***

[8]
# SrBePt

SrBePt after structural relaxation (PBE-GGA, the Alexandria database).

Unit cell a=4.5002 b=4.5002 c=4.5002 alpha=60.00 beta=60.00 gamma=60.00
Atoms (fractional coordinates):
Sr 0.5000 0.5000 0.5000
Pt 0.0000 0.0000 0.0000
Be 0.2500 0.2500 0.2500

Properties
As for the polymorph energy (0 for the lowest one): 1.779 eV/f.u. As for the space group: No. 216. The value obtained for the magnetic moment is 0.00 μB per formula unit. The formation energy comes out at -0.057 eV per formula unit. As for the electronic total energy: -11.5 eV/f.u. The value obtained for the calculated density is 7.52 g/cm3.